Here is crystalline InTcIr2 at its relaxed geometry from Alexandria via LeMat-Bulk. Energies are from GGA-PBE.

Summary:
Electronic total energy ... -30.483 eV for the cell shown
SG ... I4/mmm
D(E_F) ... 2.942 states/eV/f.u.
ΔE_f ... 0.086 eV per atom
Mass density ... 15.7 g cm⁻³

Cell: 4.842 4.842 4.842 Å, 130.96 130.93 71.89°
Fractional positions:
In  0.250  0.750  0.500
Ir  0.000  0.000  0.000
Ir  0.500  0.500  0.000
Tc  0.750  0.250  0.500


Here is crystalline Sr2Ga3AgPt4 at its relaxed geometry from Alexandria via LeMat-Bulk. Energies are from GGA-PBE.

Summary:
Electronic total energy ... -46.908 eV for the cell shown
SG ... P-4m2
D(E_F) ... 7.108 states/eV/f.u.
ΔE_f ... -0.745 eV per atom
Mass density ... 10.2 g cm⁻³

Cell: 4.382 4.382 10.753 Å, 90.00 90.00 90.00°
Fractional positions:
Sr  0.500  0.000  0.249
Sr  0.000  0.500  0.751
Ga  0.000  0.000  0.500
Ga  0.500  0.000  0.878
Ga  0.000  0.500  0.122
Ag  0.500  0.500  0.500
Pt  0.500  0.500  0.000
Pt  0.000  0.000  0.000
Pt  0.500  0.000  0.648
Pt  0.000  0.500  0.352


Here is crystalline KAgTe2Au at its relaxed geometry from Alexandria via LeMat-Bulk. Energies are from GGA-PBE.

Summary:
Electronic total energy ... -30.623 eV for the cell shown
Raw formation energy ... -0.3604 eV/atom
SG ... Cmme
D(E_F) ... 2.152 states/eV/f.u.
Mass density ... 6.0 g cm⁻³

Cell: 7.991 6.552 7.099 Å, 117.48 90.00 90.00°
Fractional positions:
K  0.245  0.750  0.500
K  0.755  0.250  0.500
Ag  0.500  0.750  0.000
Ag  0.500  0.250  0.000
Te  0.725  0.887  0.773
Te  0.725  0.613  0.227
Te  0.275  0.387  0.773
Te  0.275  0.113  0.227
Au  0.000  0.000  0.000
Au  0.000  0.500  0.000


Here is crystalline PrNiH6Ru at its relaxed geometry from Alexandria via LeMat-Bulk. Energies are from GGA-PBE.

Summary:
Electronic total energy ... -42.452 eV for the cell shown
SG ... P-6m2
D(E_F) ... 4.220 states/eV/f.u.
Mass density ... 6.3 g cm⁻³

Cell: 4.614 4.614 4.368 Å, 90.00 90.00 60.00°
Fractional positions:
Pr  0.000  0.000  0.000
Ni  0.667  0.667  0.500
H  0.999  0.500  0.247
H  0.500  0.999  0.753
H  0.500  0.500  0.753
H  0.999  0.501  0.753
H  0.500  0.501  0.247
H  0.501  0.999  0.247
Ru  0.333  0.333  0.500


Here is crystalline CaZnRu2 at its relaxed geometry from Alexandria via LeMat-Bulk. Energies are from GGA-PBE.

Summary:
Electronic total energy ... -20.467 eV for the cell shown
SG ... C2/m
D(E_F) ... 4.509 states/eV/f.u.
ΔE_f ... 0.340 eV per atom
Mass density ... 7.8 g cm⁻³

Cell: 5.392 5.392 2.801 Å, 76.52 76.52 116.57°
Fractional positions:
Ru  0.000  0.000  0.000
Ru  0.500  0.500  0.000
Zn  0.500  0.000  0.500
Ca  0.000  0.500  0.500


Here is crystalline TlBi3C at its relaxed geometry from Alexandria via LeMat-Bulk. Energies are from GGA-PBE.

Summary:
Electronic total energy ... -18.967 eV for the cell shown
Energy above the lowest structure with this stoichiometry ... 0.0000 eV/atom
SG ... Pm-3m
D(E_F) ... 1.820 states/eV/f.u.
ΔE_f ... 0.853 eV per atom
Mass density ... 10.4 g cm⁻³

Cell: 5.129 5.129 5.129 Å, 90.00 90.00 90.00°
Fractional positions:
C  0.000  0.000  0.000
Tl  0.500  0.500  0.500
Bi  0.000  0.500  0.000
Bi  0.000  0.000  0.500
Bi  0.500  0.000  0.000


Here is crystalline SrTaMoP2 at its relaxed geometry from Alexandria via LeMat-Bulk. Energies are from GGA-PBE.

Summary:
Electronic total energy ... -33.284 eV for the cell shown
SG ... P4/mmm
D(E_F) ... 4.087 states/eV/f.u.
ΔE_f ... 0.380 eV per atom
Mass density ... 5.9 g cm⁻³

Cell: 4.936 4.942 4.936 Å, 90.00 90.00 90.00°
Fractional positions:
Sr  0.500  0.500  0.500
Mo  0.000  0.500  0.000
P  0.000  0.000  0.500
P  0.500  0.000  0.000
Ta  0.000  0.000  0.000


Here is crystalline CaReI2 at its relaxed geometry from Alexandria via LeMat-Bulk. Energies are from GGA-PBE.

Summary:
Electronic total energy ... -14.710 eV for the cell shown
Energy above the lowest structure with this stoichiometry ... 0.1648 eV/atom
Raw formation energy ... 0.7099 eV/atom
SG ... R-3m
D(E_F) ... 4.607 states/eV/f.u.
Mass density ... 7.2 g cm⁻³

Cell: 3.608 3.608 10.011 Å, 79.62 79.62 60.00°
Fractional positions:
I  0.089  0.089  0.734
I  0.911  0.911  0.266
Re  0.000  0.000  0.000
Ca  0.500  0.500  0.500


Here is crystalline LaAlCd at its relaxed geometry from Alexandria via LeMat-Bulk. Energies are from GGA-PBE.

Summary:
Electronic total energy ... -41.681 eV for the cell shown
SG ... Pnma
D(E_F) ... 1.819 states/eV/f.u.
ΔE_f ... -0.278 eV per atom
Mass density ... 6.0 g cm⁻³

Cell: 6.703 4.898 9.434 Å, 90.00 90.00 90.00°
Fractional positions:
Cd  0.852  0.250  0.412
Cd  0.648  0.750  0.912
Cd  0.148  0.750  0.588
Cd  0.352  0.250  0.088
Al  0.952  0.250  0.729
Al  0.548  0.750  0.229
Al  0.048  0.750  0.271
Al  0.452  0.250  0.771
La  0.327  0.250  0.418
La  0.173  0.750  0.918
La  0.673  0.750  0.582
La  0.827  0.250  0.082


Here is crystalline K3NbV2Se6 at its relaxed geometry from Alexandria via LeMat-Bulk. Energies are from GGA-PBE.

Summary:
Electronic total energy ... -62.583 eV for the cell shown
Raw formation energy ... -0.8397 eV/atom
SG ... C2/m
D(E_F) ... 3.590 states/eV/f.u.
Mass density ... 4.7 g cm⁻³

Cell: 6.486 6.486 8.090 Å, 97.45 97.45 121.65°
Fractional positions:
K  0.172  0.828  0.500
K  0.828  0.172  0.500
K  0.500  0.500  0.500
Nb  0.000  0.000  0.000
V  0.369  0.631  0.000
V  0.631  0.369  0.000
Se  0.939  0.591  0.820
Se  0.737  0.737  0.210
Se  0.061  0.409  0.180
Se  0.591  0.939  0.820
Se  0.263  0.263  0.790
Se  0.409  0.061  0.180


Here is crystalline Hg3PCl2 at its relaxed geometry from Alexandria via LeMat-Bulk. Energies are from GGA-PBE.

Summary:
Electronic total energy ... -23.395 eV for the cell shown
Raw formation energy ... -0.2815 eV/atom
SG ... Cmcm
D(E_F) ... 0.000 states/eV/f.u.
Mass density ... 6.5 g cm⁻³

Cell: 10.476 8.393 5.218 Å, 89.98 90.00 128.61°
Fractional positions:
Hg  0.609  0.000  0.750
Hg  0.391  0.000  0.250
Hg  0.049  0.738  0.750
Hg  0.311  0.262  0.750
Hg  0.689  0.738  0.250
Hg  0.951  0.262  0.250
P  0.984  0.000  0.250
P  0.016  0.000  0.750
Cl  0.391  0.522  0.250
Cl  0.131  0.522  0.750
Cl  0.869  0.478  0.250
Cl  0.609  0.478  0.750


Here is crystalline ScAl10Fe3 at its relaxed geometry from Alexandria via LeMat-Bulk. Energies are from GGA-PBE.

Summary:
Electronic total energy ... -140.712 eV for the cell shown
SG ... Fm-3m
D(E_F) ... 8.449 states/eV/f.u.
ΔE_f ... -0.086 eV per atom
Mass density ... 3.4 g cm⁻³

Cell: 8.699 8.699 8.699 Å, 60.00 60.00 60.00°
Fractional positions:
Sc  0.250  0.250  0.250
Sc  0.750  0.750  0.750
Al  0.000  0.000  0.330
Al  0.000  0.330  0.000
Al  0.330  0.000  0.000
Al  0.670  0.330  0.000
Al  0.389  0.389  0.389
Al  0.168  0.611  0.611
Al  0.389  0.832  0.389
Al  0.670  0.000  0.330
Al  0.389  0.389  0.832
Al  0.832  0.389  0.389
Al  0.611  0.611  0.168
Al  0.000  0.000  0.670
Al  0.330  0.670  0.000
Al  0.000  0.670  0.330
Al  0.000  0.330  0.670
Al  0.670  0.000  0.000
Al  0.611  0.611  0.611
Al  0.000  0.670  0.000
Al  0.611  0.168  0.611
Al  0.330  0.000  0.670
Fe  0.736  0.736  0.264
Fe  0.736  0.264  0.736
Fe  0.264  0.736  0.736
Fe  0.264  0.264  0.736
Fe  0.736  0.264  0.264
Fe  0.264  0.736  0.264


Here is crystalline AlZn2Cu at its relaxed geometry from Alexandria via LeMat-Bulk. Energies are from GGA-PBE.

Summary:
Electronic total energy ... -10.491 eV for the cell shown
SG ... P2/m
D(E_F) ... 0.641 states/eV/f.u.
ΔE_f ... -0.026 eV per atom
Mass density ... 6.3 g cm⁻³

Cell: 4.610 2.813 4.543 Å, 93.46 90.00 90.00°
Fractional positions:
Zn  0.000  0.995  0.995
Zn  0.000  0.505  0.505
Al  0.500  0.250  0.250
Cu  0.500  0.750  0.750


Here is crystalline LaNd12Ho6 at its relaxed geometry from Alexandria via LeMat-Bulk. Energies are from GGA-PBE.

Summary:
Electronic total energy ... -87.140 eV for the cell shown
Energy above the lowest structure with this stoichiometry ... 0.0000 eV/atom
SG ... R-3
D(E_F) ... 31.554 states/eV/f.u.
ΔE_f ... 0.130 eV per atom
Mass density ... 7.2 g cm⁻³

Cell: 8.706 8.706 8.706 Å, 88.81 88.81 88.81°
Fractional positions:
La  0.000  0.000  0.000
Nd  0.781  0.537  0.433
Nd  0.433  0.781  0.537
Nd  0.537  0.433  0.781
Nd  0.219  0.463  0.567
Nd  0.567  0.219  0.463
Nd  0.463  0.567  0.219
Nd  0.016  0.198  0.362
Nd  0.802  0.638  0.984
Nd  0.638  0.984  0.802
Nd  0.984  0.802  0.638
Nd  0.198  0.362  0.016
Nd  0.362  0.016  0.198
Ho  0.742  0.901  0.301
Ho  0.699  0.258  0.099
Ho  0.099  0.699  0.258
Ho  0.258  0.099  0.699
Ho  0.301  0.742  0.901
Ho  0.901  0.301  0.742


Here is crystalline In2ClF2 at its relaxed geometry from Alexandria via LeMat-Bulk. Energies are from GGA-PBE.

Summary:
Electronic total energy ... -17.658 eV for the cell shown
Energy above the lowest structure with this stoichiometry ... 0.0000 eV/atom
Raw formation energy ... -1.3183 eV/atom
SG ... I4/mmm
D(E_F) ... 3.801 states/eV/f.u.
Mass density ... 4.7 g cm⁻³

Cell: 4.813 4.813 5.768 Å, 65.34 65.34 90.00°
Fractional positions:
F  0.328  0.328  0.344
F  0.672  0.672  0.656
Cl  0.000  0.000  0.000
In  0.750  0.250  0.500
In  0.250  0.750  0.500


Here is crystalline Tm2Mn2ZnCo5 at its relaxed geometry from Alexandria via LeMat-Bulk. Energies are from GGA-PBE.

Summary:
Electronic total energy ... -127.748 eV for the cell shown
SG ... P4/mbm
D(E_F) ... 9.949 states/eV/f.u.
ΔE_f ... 0.021 eV per atom
Mass density ... 9.3 g cm⁻³

Cell: 3.591 8.974 8.974 Å, 90.00 90.00 90.00°
Fractional positions:
Tm  0.000  0.681  0.181
Tm  0.000  0.319  0.819
Tm  0.000  0.181  0.319
Tm  0.000  0.819  0.681
Mn  0.000  0.117  0.617
Mn  0.000  0.883  0.383
Mn  0.000  0.617  0.883
Mn  0.000  0.383  0.117
Zn  0.000  0.000  0.000
Zn  0.000  0.500  0.500
Co  0.500  0.201  0.057
Co  0.500  0.799  0.943
Co  0.500  0.057  0.799
Co  0.500  0.701  0.443
Co  0.500  0.943  0.201
Co  0.500  0.299  0.557
Co  0.500  0.557  0.701
Co  0.500  0.443  0.299
Co  0.500  0.500  0.000
Co  0.500  0.000  0.500


Here is crystalline NbSi2Ag at its relaxed geometry from Alexandria via LeMat-Bulk. Energies are from GGA-PBE.

Summary:
Electronic total energy ... -22.775 eV for the cell shown
Raw formation energy ... 0.2480 eV/atom
SG ... Fm-3m
D(E_F) ... 2.034 states/eV/f.u.
Mass density ... 6.7 g cm⁻³

Cell: 4.491 4.491 4.491 Å, 60.00 60.00 60.00°
Fractional positions:
Nb  0.000  0.000  0.000
Si  0.250  0.250  0.250
Si  0.750  0.750  0.750
Ag  0.500  0.500  0.500


Here is crystalline InRh3 at its relaxed geometry from Alexandria via LeMat-Bulk. Energies are from GGA-PBE.

Summary:
Electronic total energy ... -50.819 eV for the cell shown
SG ... P6_3/mmc
D(E_F) ... 2.806 states/eV/f.u.
ΔE_f ... -0.154 eV per atom
Mass density ... 11.3 g cm⁻³

Cell: 5.632 5.632 4.536 Å, 90.00 90.00 120.00°
Fractional positions:
In  0.333  0.667  0.250
In  0.667  0.333  0.750
Rh  0.837  0.675  0.250
Rh  0.325  0.163  0.250
Rh  0.837  0.163  0.250
Rh  0.163  0.325  0.750
Rh  0.675  0.837  0.750
Rh  0.163  0.837  0.750


Here is crystalline SO at its relaxed geometry from Alexandria via LeMat-Bulk. Energies are from GGA-PBE.

Summary:
Electronic total energy ... -20.361 eV for the cell shown
Energy above the lowest structure with this stoichiometry ... 0.0143 eV/atom
Raw formation energy ... -0.5475 eV/atom
SG ... Pm
D(E_F) ... 0.000 states/eV/f.u.
Mass density ... 2.2 g cm⁻³

Cell: 4.420 3.361 5.341 Å, 90.00 114.22 90.00°
Fractional positions:
S  0.210  0.500  0.471
S  0.034  0.000  0.121
O  0.569  0.500  0.526
O  0.336  0.000  0.063


Here is crystalline LaReB3 at its relaxed geometry from Alexandria via LeMat-Bulk. Energies are from GGA-PBE.

Summary:
Electronic total energy ... -37.666 eV for the cell shown
Energy above the lowest structure with this stoichiometry ... 0.0000 eV/atom
SG ... Pm-3m
D(E_F) ... 1.381 states/eV/f.u.
ΔE_f ... -0.052 eV per atom
Mass density ... 8.0 g cm⁻³

Cell: 4.200 4.200 4.200 Å, 90.00 90.00 90.00°
Fractional positions:
Re  0.000  0.000  0.000
B  0.000  0.500  0.000
B  0.000  0.000  0.500
B  0.500  0.000  0.000
La  0.500  0.500  0.500